## a
Density functional theory data (PBEsol) for crystalline K at its relaxed geometry.

Computed properties:
Magnetic moment: 0.0 μB/f.u.
N(E_F): 0.752 states/eV/f.u.

Cell lengths 4.6151, 4.6151, 4.6151 Å; angles 60.00, 60.00, 60.00 degrees
With the nearest neighbours (Å) after each atom.
Fractional coordinates of all 1 atoms:
K 0.0000 0.0000 0.0000  12 K 4.62

***

## b
Density functional theory data (PBEsol) for crystalline K at its relaxed geometry.

Computed properties:
Magnetic moment: 0.0 μB/f.u.
N(E_F): 0.753 states/eV/f.u.

Cell lengths 19.5803, 19.5803, 19.5803 Å; angles 109.47, 109.47, 109.47 degrees
With the nearest neighbours (Å) after each atom.
Fractional coordinates of all 81 atoms:
K 0.0000 0.0000 0.0000  12 K 4.30
K 0.0000 0.0000 0.3773  13 K 4.72-5.25
K 0.0000 0.0000 0.6227  13 K 4.72-5.25
K 0.0000 0.3773 0.0000  13 K 4.72-5.25
K 0.0000 0.6227 0.0000  13 K 4.72-5.25
K 0.0242 0.5949 0.2416  5 K 4.20-4.37
K 0.0242 0.7825 0.4293  5 K 4.20-4.37
K 0.0550 0.1592 0.8958  2 K 3.96-4.30
K 0.0919 0.5919 0.5000  3 K 4.15-4.36
K 0.1042 0.2634 0.1592  2 K 3.96-4.30
K 0.1042 0.9450 0.8408  2 K 3.96-4.30
K 0.1194 0.3090 0.4284  10 K 4.65-4.93
K 0.1194 0.6910 0.8104  10 K 4.65-4.93
K 0.1554 0.3225 0.8329  6 K 3.96-4.37
K 0.1592 0.1042 0.2634  2 K 3.96-4.30
K 0.1592 0.8958 0.0550  2 K 3.96-4.30
K 0.1671 0.4896 0.3225  6 K 3.96-4.37
K 0.1671 0.8446 0.6775  6 K 3.96-4.37
K 0.1896 0.8806 0.3090  10 K 4.65-4.93
K 0.2017 0.5000 0.7017  15 K 4.67-5.01
K 0.2175 0.2416 0.6468  5 K 4.20-4.37
K 0.2175 0.5707 0.9758  5 K 4.20-4.37
K 0.2416 0.0242 0.5949  5 K 4.20-4.37
K 0.2416 0.6468 0.2175  5 K 4.20-4.37
K 0.2634 0.1592 0.1042  2 K 3.96-4.30
K 0.2983 0.7983 0.5000  15 K 4.67-5.01
K 0.3090 0.1896 0.8806  10 K 4.65-4.93
K 0.3090 0.4284 0.1194  10 K 4.65-4.93
K 0.3225 0.1671 0.4896  6 K 3.96-4.37
K 0.3225 0.8329 0.1554  6 K 3.96-4.37
K 0.3532 0.5949 0.5707  5 K 4.20-4.37
K 0.3532 0.7825 0.7584  5 K 4.20-4.37
K 0.3773 0.0000 0.0000  13 K 4.72-5.25
K 0.3773 0.3773 0.3773  13 K 4.72-5.25
K 0.4051 0.4293 0.6468  5 K 4.20-4.37
K 0.4051 0.7584 0.9758  5 K 4.20-4.37
K 0.4081 0.5000 0.9081  3 K 4.15-4.36
K 0.4284 0.1194 0.3090  10 K 4.65-4.93
K 0.4293 0.0242 0.7825  5 K 4.20-4.37
K 0.4293 0.6468 0.4051  5 K 4.20-4.37
K 0.4896 0.3225 0.1671  6 K 3.96-4.37
K 0.5000 0.0919 0.5919  3 K 4.15-4.36
K 0.5000 0.2983 0.7983  15 K 4.67-5.01
K 0.5000 0.7017 0.2017  15 K 4.67-5.01
K 0.5000 0.9081 0.4081  3 K 4.15-4.36
K 0.5104 0.6775 0.8329  6 K 3.96-4.37
K 0.5707 0.3532 0.5949  5 K 4.20-4.37
K 0.5707 0.9758 0.2175  5 K 4.20-4.37
K 0.5716 0.8806 0.6910  10 K 4.65-4.93
K 0.5919 0.5000 0.0919  3 K 4.15-4.36
K 0.5949 0.2416 0.0242  5 K 4.20-4.37
K 0.5949 0.5707 0.3532  5 K 4.20-4.37
K 0.6227 0.0000 0.0000  13 K 4.72-5.25
K 0.6227 0.6227 0.6227  13 K 4.72-5.25
K 0.6468 0.2175 0.2416  5 K 4.20-4.37
K 0.6468 0.4051 0.4293  5 K 4.20-4.37
K 0.6775 0.1671 0.8446  6 K 3.96-4.37
K 0.6775 0.8329 0.5104  6 K 3.96-4.37
K 0.6910 0.5716 0.8806  10 K 4.65-4.93
K 0.6910 0.8104 0.1194  10 K 4.65-4.93
K 0.7017 0.2017 0.5000  15 K 4.67-5.01
K 0.7366 0.8408 0.8958  2 K 3.96-4.30
K 0.7584 0.3532 0.7825  5 K 4.20-4.37
K 0.7584 0.9758 0.4051  5 K 4.20-4.37
K 0.7825 0.4293 0.0242  5 K 4.20-4.37
K 0.7825 0.7584 0.3532  5 K 4.20-4.37
K 0.7983 0.5000 0.2983  15 K 4.67-5.01
K 0.8104 0.1194 0.6910  10 K 4.65-4.93
K 0.8329 0.1554 0.3225  6 K 3.96-4.37
K 0.8329 0.5104 0.6775  6 K 3.96-4.37
K 0.8408 0.1042 0.9450  2 K 3.96-4.30
K 0.8408 0.8958 0.7366  2 K 3.96-4.30
K 0.8446 0.6775 0.1671  6 K 3.96-4.37
K 0.8806 0.3090 0.1896  10 K 4.65-4.93
K 0.8806 0.6910 0.5716  10 K 4.65-4.93
K 0.8958 0.0550 0.1592  2 K 3.96-4.30
K 0.8958 0.7366 0.8408  2 K 3.96-4.30
K 0.9081 0.4081 0.5000  3 K 4.15-4.36
K 0.9450 0.8408 0.1042  2 K 3.96-4.30
K 0.9758 0.2175 0.5707  5 K 4.20-4.37
K 0.9758 0.4051 0.7584  5 K 4.20-4.37

***

Which structure is the most stable? The one labeled a.

***

## a
Density functional theory data (PBEsol) for crystalline KLaMg2 at its relaxed geometry.

Computed properties:
Magnetic moment: 0.0 μB/f.u.
N(E_F): 3.393 states/eV/f.u.

Cell lengths 3.5382, 3.5382, 10.7900 Å; angles 90.00, 90.00, 90.00 degrees
With the nearest neighbours (Å) after each atom.
Fractional coordinates of all 4 atoms:
K 0.0000 0.0000 0.0000  4 K 3.54, 4 Mg 3.91
La 0.5000 0.5000 0.3398  4 Mg 3.39, 4 La 3.54
Mg 0.0000 0.0000 0.5524  4 Mg 3.10, 4 La 3.39
Mg 0.5000 0.5000 0.7217  4 Mg 3.10

***

## b
Density functional theory data (PBEsol) for crystalline KLaMg2 at its relaxed geometry.

Computed properties:
Magnetic moment: 0.0 μB/f.u.
N(E_F): 3.690 states/eV/f.u.

Cell lengths 6.8184, 6.8184, 6.2153 Å; angles 107.64, 107.64, 28.55 degrees
With the nearest neighbours (Å) after each atom.
Fractional coordinates of all 4 atoms:
K 0.0000 0.0000 0.0000  2 K 3.36, 7 Mg 3.57-3.68
La 0.7996 0.7996 0.3673  2 La 3.36, 7 Mg 3.55-3.75
Mg 0.2394 0.2394 0.8270  4 Mg 3.11-3.36
Mg 0.5488 0.5488 0.5293  4 Mg 3.11-3.36

***

Which structure is the most stable? The one labeled a.